# PBE Rb2MgF2, optimized geometry
data_Rb2MgF2
_chemical_formula_sum 'Rb2 Mg1 F2'
_cell_length_a 7.572
_cell_length_b 7.572
_cell_length_c 7.572
_cell_angle_alpha 140.06
_cell_angle_beta 140.06
_cell_angle_gamma 57.75
_symmetry_space_group_name_H-M 'P 1'
_symmetry_Int_Tables_number 1
loop_
_symmetry_equiv_pos_as_xyz
'x,y,z'
loop_
_atom_site_label
_atom_site_type_symbol
_atom_site_fract_x
_atom_site_fract_y
_atom_site_fract_z
Rb1 Rb 0.187 0.187 0.000
Rb2 Rb 0.813 0.813 0.000
Mg1 Mg 0.500 0.500 0.000
F1 F 0.250 0.750 0.500
F2 F 0.750 0.250 0.500
# Offset from the most stable computed form ... 0.000 eV/atom
# Formation energy (no corrections) ... -1.7451 eV per atom
# Symmetry ... I4/mmm


# PBE YAgPb2Se4, optimized geometry
data_YAgPb2Se4
_chemical_formula_sum 'Y1 Ag1 Pb2 Se4'
_cell_length_a 7.280
_cell_length_b 4.231
_cell_length_c 7.455
_cell_angle_alpha 90.00
_cell_angle_beta 109.43
_cell_angle_gamma 90.00
_symmetry_space_group_name_H-M 'P 1'
_symmetry_Int_Tables_number 1
loop_
_symmetry_equiv_pos_as_xyz
'x,y,z'
loop_
_atom_site_label
_atom_site_type_symbol
_atom_site_fract_x
_atom_site_fract_y
_atom_site_fract_z
Y1 Y 0.000 0.000 0.000
Ag1 Ag 0.500 0.500 0.000
Pb1 Pb 0.000 0.500 0.500
Pb2 Pb 0.500 0.000 0.500
Se1 Se 0.238 0.500 0.230
Se2 Se 0.256 0.000 0.774
Se3 Se 0.744 0.000 0.226
Se4 Se 0.762 0.500 0.770
# Formation energy (no corrections) ... -0.8377 eV per atom
# Symmetry ... P2/m


# PBE H2PtBr, optimized geometry
data_H2PtBr
_chemical_formula_sum 'H4 Pt2 Br2'
_cell_length_a 5.420
_cell_length_b 5.420
_cell_length_c 5.420
_cell_angle_alpha 120.17
_cell_angle_beta 120.17
_cell_angle_gamma 89.71
_symmetry_space_group_name_H-M 'P 1'
_symmetry_Int_Tables_number 1
loop_
_symmetry_equiv_pos_as_xyz
'x,y,z'
loop_
_atom_site_label
_atom_site_type_symbol
_atom_site_fract_x
_atom_site_fract_y
_atom_site_fract_z
H1 H 0.375 0.172 0.297
H2 H 0.828 0.125 0.203
H3 H 0.875 0.078 0.703
H4 H 0.922 0.625 0.797
Pt1 Pt 0.000 0.000 0.000
Pt2 Pt 0.750 0.250 0.500
Br1 Br 0.250 0.750 0.500
Br2 Br 0.500 0.500 0.000
# Offset from the most stable computed form ... 0.077 eV/atom
# Symmetry ... I-42d